[1]
The following is a PBE calculation of crystalline Rb2CrCoCu at its relaxed geometry, from Alexandria via LeMat-Bulk.

Values from the calculation:
calculated density	2.950	g/cm3
formation energy from the elements	117.7	kJ/mol of atoms
magnetization	7.17	μB/f.u.

abc: 6.478 6.478 4.635
angles: 90.00 90.00 90.00
Space group P4/mmm (No. 123)
One atom of each set of equivalent atoms:
Rb1 0.000 0.500 0.000 x2
Cr1 0.000 0.000 0.500 x1
Co1 0.500 0.500 0.500 x1
Cu1 0.500 0.500 0.000 x1

---

[2]
The following is a PBE calculation of crystalline CrCoCuRh at its relaxed geometry, from Alexandria via LeMat-Bulk.

Values from the calculation:
calculated density	9.409	g/cm3
formation energy from the elements	15.1	kJ/mol of atoms
magnetization	1.34	μB/f.u.

abc: 5.807 5.807 5.807
angles: 90.00 90.00 90.00
Space group F-43m (No. 216)
One atom of each set of equivalent atoms:
Cr1 0.000 0.000 0.000 x4
Co1 0.250 0.250 0.250 x4
Cu1 0.000 0.000 0.500 x4
Rh1 0.250 0.250 0.750 x4

---

[3]
The following is a PBE calculation of crystalline Cr6Co2CuSe12 at its relaxed geometry, from Alexandria via LeMat-Bulk.

Values from the calculation:
calculated density	6.144	g/cm3
formation energy (no corrections)	-0.41	eV per atom
magnetization	19.16	μB/f.u.

abc: 12.744 3.665 17.074
angles: 90.00 102.39 90.00
Space group C2/m (No. 12)
One atom of each set of equivalent atoms:
Cr1 0.003 0.000 0.257 x4
Cr2 0.167 0.500 0.407 x4
Cr3 0.167 0.500 0.927 x4
Co1 0.167 0.000 0.166 x4
Cu1 0.000 0.500 0.500 x2
Se1 0.031 0.500 0.154 x4
Se2 0.032 0.500 0.654 x4
Se3 0.135 0.000 0.018 x4
Se4 0.144 0.000 0.508 x4
Se5 0.195 0.000 0.825 x4
Se6 0.200 0.000 0.314 x4

---

[4]
The following is a PBE calculation of crystalline Cr8CoCu3Se16 at its relaxed geometry, from Alexandria via LeMat-Bulk.

Values from the calculation:
calculated density	5.676	g/cm3
formation energy (no corrections)	-0.46	eV per atom
magnetization	23.74	μB/f.u.

abc: 7.365 7.365 10.404
angles: 90.00 90.00 90.00
Space group P-4m2 (No. 115)
One atom of each set of equivalent atoms:
Cr1 0.000 0.247 0.376 x4
Cr2 0.251 0.500 0.124 x4
Co1 0.500 0.500 0.500 x1
Cu1 0.000 0.000 0.000 x1
Cu2 0.000 0.500 0.751 x2
Se1 0.000 0.235 0.618 x4
Se2 0.000 0.266 0.134 x4
Se3 0.238 0.500 0.370 x4
Se4 0.265 0.500 0.883 x4

---

[5]
The following is a PBE calculation of crystalline V2CrCoCu at its relaxed geometry, from Alexandria via LeMat-Bulk.

Values from the calculation:
calculated density	6.072	g/cm3
formation energy from the elements	101.8	kJ/mol of atoms
magnetization	0.55	μB/f.u.

abc: 4.204 4.204 4.275
angles: 90.00 90.00 90.00
Space group P4/mmm (No. 123)
One atom of each set of equivalent atoms:
V1 0.000 0.500 0.000 x2
Cr1 0.000 0.000 0.000 x1
Co1 0.000 0.000 0.500 x1
Cu1 0.500 0.500 0.500 x1

---

[6]
The following is a PBE calculation of crystalline VCrCoCu at its relaxed geometry, from Alexandria via LeMat-Bulk.

Values from the calculation:
calculated density	7.738	g/cm3
formation energy from the elements	10.1	kJ/mol of atoms
magnetization	2.85	μB/f.u.

abc: 5.784 5.784 5.784
angles: 90.00 90.00 90.00
Space group F-43m (No. 216)
One atom of each set of equivalent atoms:
V1 0.000 0.000 0.000 x4
Cr1 0.250 0.250 0.750 x4
Co1 0.250 0.250 0.250 x4
Cu1 0.000 0.000 0.500 x4